# 1
# SiRu3, single point on PBEsol structure, DFT meta-GGA SCAN
# - space group = Immm (71)
# - E_tot (eV per atom) = -28.906
data_SiRu3
_chemical_formula_sum 'Si1 Ru3'
_cell_length_a 2.8177
_cell_length_b 4.2612
_cell_length_c 5.0169
_cell_angle_alpha 115.13
_cell_angle_beta 106.31
_cell_angle_gamma 90.00
_space_group_name_H-M_alt 'P 1'
_space_group_IT_number 1
loop_
_space_group_symop_operation_xyz
'x,y,z'
loop_
_atom_site_label
_atom_site_type_symbol
_atom_site_fract_x
_atom_site_fract_y
_atom_site_fract_z
Si1 Si 0.0000 0.5835 0.0000
Ru1 Ru 0.5000 0.0833 0.0000
Ru2 Ru 0.7216 0.8049 0.4432
Ru3 Ru 0.2784 0.3617 0.5568

---

# 2
# Si4Ru, single point on PBEsol structure, DFT meta-GGA SCAN
# - space group = I4/mmm (139)
# - E_tot (eV per atom) = -14.570
data_Si4Ru
_chemical_formula_sum 'Si4 Ru1'
_cell_length_a 3.1704
_cell_length_b 3.1704
_cell_length_c 7.6403
_cell_angle_alpha 101.97
_cell_angle_beta 101.97
_cell_angle_gamma 90.00
_space_group_name_H-M_alt 'P 1'
_space_group_IT_number 1
loop_
_space_group_symop_operation_xyz
'x,y,z'
loop_
_atom_site_label
_atom_site_type_symbol
_atom_site_fract_x
_atom_site_fract_y
_atom_site_fract_z
Si1 Si 0.7500 0.2500 0.5000
Si2 Si 0.5927 0.5927 0.1854
Si3 Si 0.2500 0.7500 0.5000
Ru1 Ru 0.0000 0.0000 0.0000
Si4 Si 0.4073 0.4073 0.8146

---

# 3
# SmSi2Ru2, single point on PBEsol structure, DFT meta-GGA SCAN
# - space group = I4/mmm (139)
# - E_tot (eV per atom) = -27.811
data_SmSi2Ru2
_chemical_formula_sum 'Sm1 Si2 Ru2'
_cell_length_a 4.1524
_cell_length_b 4.1524
_cell_length_c 5.6327
_cell_angle_alpha 111.63
_cell_angle_beta 111.63
_cell_angle_gamma 90.00
_space_group_name_H-M_alt 'P 1'
_space_group_IT_number 1
loop_
_space_group_symop_operation_xyz
'x,y,z'
loop_
_atom_site_label
_atom_site_type_symbol
_atom_site_fract_x
_atom_site_fract_y
_atom_site_fract_z
Si1 Si 0.3674 0.3674 0.7347
Sm1 Sm 0.0000 0.0000 0.0000
Ru1 Ru 0.7500 0.2500 0.5000
Si2 Si 0.6326 0.6326 0.2653
Ru2 Ru 0.2500 0.7500 0.5000

---

# 4
# SmSi2Ru3, single point on PBEsol structure, DFT meta-GGA SCAN
# - space group = P6/mmm (191)
# - E_tot (eV per atom) = -28.890
data_SmSi2Ru3
_chemical_formula_sum 'Sm1 Si2 Ru3'
_cell_length_a 3.6286
_cell_length_b 5.5080
_cell_length_c 5.5080
_cell_angle_alpha 120.00
_cell_angle_beta 90.00
_cell_angle_gamma 90.00
_space_group_name_H-M_alt 'P 1'
_space_group_IT_number 1
loop_
_space_group_symop_operation_xyz
'x,y,z'
loop_
_atom_site_label
_atom_site_type_symbol
_atom_site_fract_x
_atom_site_fract_y
_atom_site_fract_z
Ru1 Ru 0.5000 0.0000 0.5000
Si1 Si 0.0000 0.6667 0.3333
Ru2 Ru 0.5000 0.5000 0.0000
Si2 Si 0.0000 0.3333 0.6667
Sm1 Sm 0.0000 0.0000 0.0000
Ru3 Ru 0.5000 0.5000 0.5000

---

# 5
# Sm3Si2Ru2, single point on PBEsol structure, DFT meta-GGA SCAN
# - space group = Pbcm (57)
# - E_tot (eV per atom) = -32.600
data_Sm3Si2Ru2
_chemical_formula_sum 'Sm12 Si8 Ru8'
_cell_length_a 5.6024
_cell_length_b 7.6499
_cell_length_c 13.3129
_cell_angle_alpha 90.00
_cell_angle_beta 90.00
_cell_angle_gamma 90.00
_space_group_name_H-M_alt 'P 1'
_space_group_IT_number 1
loop_
_space_group_symop_operation_xyz
'x,y,z'
loop_
_atom_site_label
_atom_site_type_symbol
_atom_site_fract_x
_atom_site_fract_y
_atom_site_fract_z
Si1 Si 0.8571 0.6056 0.2500
Ru1 Ru 0.6467 0.9716 0.5901
Sm1 Sm 0.3721 0.7441 0.7500
Ru2 Ru 0.6467 0.5284 0.0901
Ru3 Ru 0.3533 0.0284 0.4099
Sm2 Sm 0.3721 0.7559 0.2500
Sm3 Sm 0.8551 0.5996 0.6002
Sm4 Sm 0.1449 0.0996 0.6002
Si2 Si 0.6033 0.2500 0.5000
Ru4 Ru 0.3533 0.4716 0.9099
Si3 Si 0.8571 0.8944 0.7500
Sm5 Sm 0.1449 0.4004 0.3998
Ru5 Ru 0.6467 0.5284 0.4099
Sm6 Sm 0.1449 0.4004 0.1002
Si4 Si 0.3967 0.7500 0.0000
Ru6 Ru 0.6467 0.9716 0.9099
Sm7 Sm 0.8551 0.5996 0.8998
Ru7 Ru 0.3533 0.0284 0.0901
Sm8 Sm 0.6279 0.2559 0.2500
Sm9 Sm 0.8551 0.9004 0.1002
Si5 Si 0.1429 0.3944 0.7500
Si6 Si 0.3967 0.7500 0.5000
Si7 Si 0.6033 0.2500 0.0000
Si8 Si 0.1429 0.1056 0.2500
Ru8 Ru 0.3533 0.4716 0.5901
Sm10 Sm 0.6279 0.2441 0.7500
Sm11 Sm 0.8551 0.9004 0.3998
Sm12 Sm 0.1449 0.0996 0.8998

---

# 6
# Sr2SiRu, single point on PBEsol structure, DFT meta-GGA SCAN
# - space group = Imm2 (44)
# - E_tot (eV per atom) = -22.498
data_Sr2SiRu
_chemical_formula_sum 'Sr2 Si1 Ru1'
_cell_length_a 3.9194
_cell_length_b 5.0150
_cell_length_c 6.1410
_cell_angle_alpha 114.10
_cell_angle_beta 108.61
_cell_angle_gamma 90.00
_space_group_name_H-M_alt 'P 1'
_space_group_IT_number 1
loop_
_space_group_symop_operation_xyz
'x,y,z'
loop_
_atom_site_label
_atom_site_type_symbol
_atom_site_fract_x
_atom_site_fract_y
_atom_site_fract_z
Sr1 Sr 0.9720 0.9720 0.9441
Si1 Si 0.1878 0.6878 0.3756
Sr2 Sr 0.7620 0.2620 0.5241
Ru1 Ru 0.5781 0.5781 0.1563

---

| no. | E_form (uncorrected) (meV per atom) |
| --- | --- |
| 1 | -283 |
| 2 | 408 |
| 3 | -985 |
| 4 | -732 |
| 5 | -742 |
| 6 | -150 |